Record 1
{"formula": "ZnSb2Pd", "functional": "PBE", "state": "relaxed", "e_form_raw_ev_per_atom": 0.050, "space_group": "I-42d, No. 122", "lattice": [[6.112, 0.000, 0.000], [0.000, 6.112, 0.000], [3.056, 3.056, 6.014]], "species": ["Sb", "Sb", "Sb", "Sb", "Zn", "Zn", "Pd", "Pd"], "frac_coords": [[0.638, 0.125, 0.250], [0.112, 0.625, 0.250], [0.375, 0.362, 0.750], [0.875, 0.888, 0.750], [0.500, 0.500, 0.000], [0.250, 0.750, 0.500], [0.000, 0.000, 0.000], [0.750, 0.250, 0.500]]}

Record 2
{"formula": "MgScNbTc", "functional": "PBE", "state": "relaxed", "formation_enthalpy_0k_ev_per_atom": -0.047, "space_group": "F-43m, No. 216", "lattice": [[-3.382, -1.253, 2.957], [0.329, -4.013, 2.354], [0.785, 0.051, 4.597]], "species": ["Sc", "Nb", "Mg", "Tc"], "frac_coords": [[0.000, 0.000, 0.000], [0.500, 0.500, 0.500], [0.750, 0.750, 0.750], [0.250, 0.250, 0.250]]}

Record 3
{"formula": "Nd6Ni2CCl3", "functional": "PBE", "state": "relaxed", "e_form_raw_ev_per_atom": -0.892, "space_group": "C2/m, No. 12", "lattice": [[3.863, 0.000, 0.000], [0.000, 8.659, 0.002], [-1.932, -2.802, 8.863]], "species": ["Nd", "Nd", "Nd", "Nd", "Nd", "Nd", "Ni", "Ni", "C", "Cl", "Cl", "Cl"], "frac_coords": [[0.353, 0.901, 0.705], [0.673, 0.559, 0.345], [0.647, 0.099, 0.295], [0.004, 0.206, 0.009], [0.996, 0.794, 0.991], [0.327, 0.441, 0.655], [0.834, 0.665, 0.668], [0.166, 0.335, 0.332], [0.500, 0.000, 0.000], [0.500, 0.500, 0.000], [0.836, 0.161, 0.672], [0.164, 0.839, 0.328]]}

Record 4
{"formula": "Sr2Mg12AlAg3", "functional": "PBE", "state": "relaxed", "formation_enthalpy_0k_ev_per_atom": 0.113, "space_group": "R-3m, No. 166", "lattice": [[7.469, -1.652, -1.172], [2.253, 7.311, -1.172], [2.253, 1.311, 7.287]], "species": ["Sr", "Sr", "Mg", "Mg", "Mg", "Mg", "Mg", "Mg", "Mg", "Mg", "Mg", "Mg", "Mg", "Mg", "Al", "Ag", "Ag", "Ag"], "frac_coords": [[0.623, 0.623, 0.623], [0.377, 0.377, 0.377], [0.372, 0.372, 0.935], [0.818, 0.818, 0.288], [0.288, 0.818, 0.818], [0.935, 0.372, 0.372], [0.818, 0.288, 0.818], [0.372, 0.935, 0.372], [0.628, 0.628, 0.065], [0.182, 0.182, 0.712], [0.712, 0.182, 0.182], [0.065, 0.628, 0.628], [0.182, 0.712, 0.182], [0.628, 0.065, 0.628], [0.000, 0.000, 0.000], [0.500, 0.000, 0.000], [0.000, 0.500, 0.000], [0.000, 0.000, 0.500]]}

Record 5
{"formula": "Tl2TcC", "functional": "PBE", "state": "relaxed", "formation_enthalpy_0k_ev_per_atom": 1.925, "relative_energy_mev_per_atom": 885.4, "space_group": "Fm-3m, No. 225", "lattice": [[0.000, 3.335, 3.335], [3.335, 0.000, 3.335], [3.335, 3.335, 0.000]], "species": ["C", "Tl", "Tl", "Tc"], "frac_coords": [[0.000, 0.000, 0.000], [0.250, 0.250, 0.250], [0.750, 0.750, 0.750], [0.500, 0.500, 0.500]]}

Record 6
{"formula": "K3Ga2Pt4", "functional": "PBE", "state": "relaxed", "formation_enthalpy_0k_ev_per_atom": -0.393, "space_group": "C2/m, No. 12", "lattice": [[4.204, 0.000, 0.000], [-2.102, 5.909, -1.715], [0.000, -0.168, 9.281]], "species": ["K", "K", "K", "Ga", "Ga", "Pt", "Pt", "Pt", "Pt"], "frac_coords": [[0.364, 0.729, 0.629], [0.000, 0.000, 0.000], [0.636, 0.271, 0.371], [0.338, 0.676, 0.226], [0.662, 0.324, 0.774], [0.758, 0.517, 0.089], [0.077, 0.155, 0.630], [0.923, 0.845, 0.370], [0.242, 0.483, 0.911]]}

Record 7
{"formula": "TaNbCd2", "functional": "PBE", "state": "relaxed", "formation_enthalpy_0k_ev_per_atom": 0.788, "relative_energy_mev_per_atom": 227.3, "space_group": "I-42d, No. 122", "lattice": [[-2.271, 0.312, -7.428], [6.277, -4.082, -2.090], [0.594, -4.222, -4.427]], "species": ["Nb", "Nb", "Cd", "Cd", "Cd", "Cd", "Ta", "Ta"], "frac_coords": [[0.500, 0.500, 0.000], [0.250, 0.750, 0.500], [0.626, 0.125, 0.250], [0.124, 0.625, 0.250], [0.375, 0.374, 0.750], [0.875, 0.876, 0.750], [0.000, 0.000, 0.000], [0.750, 0.250, 0.500]]}

Record 8
{"formula": "NiHSe2", "functional": "PBE", "state": "relaxed", "relative_energy_mev_per_atom": 35.0, "space_group": "R-3m, No. 166", "lattice": [[2.116, 0.000, 5.981], [-1.058, 1.833, 5.981], [-1.058, -1.833, 5.981]], "species": ["Ni", "Se", "Se", "H"], "frac_coords": [[0.500, 0.500, 0.500], [0.901, 0.901, 0.901], [0.099, 0.099, 0.099], [0.000, 0.000, 0.000]]}